(1)
A plane-wave DFT calculation with PBE was carried out for an optimized crystal structure of Be3CuN.

The structure in POSCAR format:
```
Be3CuN
1.0
-0.629 -2.073 2.754
1.716 -2.616 -1.577
2.989 1.065 1.485
N Cu Be
1 1 3
Direct
0.000 0.000 0.000
0.500 0.500 0.500
0.500 0.000 0.000
0.000 0.000 0.500
0.000 0.500 0.000
```

## Properties
Distance to the lowest polymorph of the same formula, eV per atom: 0.000
Theoretical density, kg/m³: 4037
Formation energy (no corrections), eV/atom: -0.06

(2)
A plane-wave DFT calculation with PBE was carried out for an optimized crystal structure of Nd2Co2Ni.

The structure in POSCAR format:
```
Nd2Co2Ni
1.0
-6.148 -1.865 2.176
2.073 -6.450 0.330
2.414 1.176 7.830
Co Ni Nd
8 4 8
Direct
0.118 0.382 0.250
0.882 0.618 0.250
0.382 0.882 0.750
0.882 0.618 0.750
0.618 0.118 0.750
0.118 0.382 0.750
0.382 0.882 0.250
0.618 0.118 0.250
0.500 0.500 0.750
0.500 0.500 0.250
0.000 0.000 0.750
0.000 0.000 0.250
0.685 0.815 0.000
0.815 0.315 0.000
0.185 0.685 0.500
0.685 0.815 0.500
0.315 0.185 0.000
0.185 0.685 0.000
0.815 0.315 0.500
0.315 0.185 0.500
```

## Properties
Formation energy from the elements, eV/atom: 0.010
Theoretical density, kg/m³: 8110

(3)
A plane-wave DFT calculation with PBE was carried out for an optimized crystal structure of LaPrSmEr.

The structure in POSCAR format:
```
LaPrSmEr
1.0
-4.605 3.402 -0.976
-5.209 -1.493 2.091
-2.353 3.025 4.364
La Er Sm Pr
1 1 1 1
Direct
0.250 0.250 0.250
0.000 0.000 0.000
0.500 0.500 0.500
0.750 0.750 0.750
```

## Properties
Formation energy from the elements, eV/atom: 0.107
Distance to the lowest polymorph of the same formula, eV per atom: 0.076
Theoretical density, kg/m³: 7159

(4)
A plane-wave DFT calculation with PBE was carried out for an optimized crystal structure of TbHgF5.

The structure in POSCAR format:
```
TbHgF5
1.0
-4.814 -3.485 -0.900
1.761 -5.159 2.533
-3.637 -0.381 6.778
F Hg Tb
10 2 2
Direct
0.654 0.328 0.462
0.712 0.789 0.145
0.328 0.654 0.962
0.288 0.211 0.855
0.672 0.346 0.038
0.346 0.672 0.538
0.840 0.160 0.750
0.160 0.840 0.250
0.789 0.712 0.645
0.211 0.288 0.355
0.000 0.000 0.500
0.000 0.000 0.000
0.544 0.456 0.750
0.456 0.544 0.250
```

## Properties
Theoretical density, kg/m³: 5921
Formation energy (no corrections), eV/atom: -2.93

(5)
A plane-wave DFT calculation with PBE was carried out for an optimized crystal structure of AgMoBr2.

The structure in POSCAR format:
```
AgMoBr2
1.0
5.436 -0.022 0.159
4.487 3.069 0.159
2.483 0.763 7.026
Mo Br Ag
1 2 1
Direct
0.467 0.467 0.375
0.997 0.997 0.094
0.845 0.845 0.656
0.191 0.191 0.375
```

## Properties
Distance to the lowest polymorph of the same formula, eV per atom: 0.043
Theoretical density, kg/m³: 5180
Formation energy (no corrections), eV/atom: 0.19

(6)
A plane-wave DFT calculation with PBE was carried out for an optimized crystal structure of Sm3Tm2Pb2.

The structure in POSCAR format:
```
Sm3Tm2Pb2
1.0
-0.237 -2.069 2.847
-2.641 -6.019 -4.595
8.742 1.925 -0.057
Tm Pb Sm
2 2 3
Direct
0.880 0.728 0.760
0.120 0.272 0.240
0.421 0.104 0.842
0.579 0.896 0.158
0.000 0.500 0.000
0.214 0.770 0.427
0.786 0.230 0.573
```

## Properties
Formation energy from the elements, eV/atom: -0.131
Theoretical density, kg/m³: 9228

(7)
A plane-wave DFT calculation with PBE was carried out for an optimized crystal structure of BiSe2O.

The structure in POSCAR format:
```
BiSe2O
1.0
2.394 0.000 7.385
-1.197 2.073 7.385
-1.197 -2.073 7.385
Se Bi O
2 1 1
Direct
0.914 0.914 0.914
0.086 0.086 0.086
0.500 0.500 0.500
0.000 0.000 0.000
```

## Properties
Distance to the lowest polymorph of the same formula, eV per atom: 0.000
Theoretical density, kg/m³: 5782
Formation energy (no corrections), eV/atom: 0.01

(8)
A plane-wave DFT calculation with PBE was carried out for an optimized crystal structure of Ti5Nb2In2.

The structure in POSCAR format:
```
Ti5Nb2In2
1.0
6.884 0.000 0.000
0.000 7.116 0.000
0.000 -3.558 7.309
Ti In Nb
10 4 4
Direct
0.644 0.024 0.752
0.644 0.271 0.248
0.144 0.229 0.752
0.356 0.976 0.248
0.856 0.771 0.248
0.356 0.729 0.752
0.856 0.524 0.752
0.000 0.000 0.000
0.500 0.500 0.000
0.144 0.476 0.248
0.000 0.793 0.587
0.000 0.207 0.413
0.500 0.293 0.587
0.500 0.707 0.413
0.840 0.341 0.000
0.340 0.159 0.000
0.660 0.841 0.000
0.160 0.659 0.000
```

## Properties
Formation energy from the elements, eV/atom: 0.187
Theoretical density, kg/m³: 6074

(9)
A plane-wave DFT calculation with PBE was carried out for an optimized crystal structure of BaCaRu2.

The structure in POSCAR format:
```
BaCaRu2
1.0
-2.820 1.283 -8.201
0.641 -0.918 -8.695
-2.906 -2.826 -7.774
Ca Ba Ru
1 1 2
Direct
0.710 0.710 0.710
0.532 0.532 0.532
0.953 0.953 0.953
0.305 0.305 0.305
```

## Properties
Formation energy from the elements, eV/atom: 0.163
Distance to the lowest polymorph of the same formula, eV per atom: 0.000
Theoretical density, kg/m³: 5054

(10)
A plane-wave DFT calculation with PBE was carried out for an optimized crystal structure of KNa5Cd.

The structure in POSCAR format:
```
KNa5Cd
1.0
6.094 -0.172 -1.183
-0.899 6.029 -1.183
-0.160 -0.180 14.360
Cd Na K
2 10 2
Direct
0.000 0.000 0.000
0.000 0.000 0.500
0.996 0.004 0.250
0.207 0.487 0.445
0.793 0.513 0.555
0.511 0.049 0.618
0.489 0.951 0.382
0.487 0.207 0.945
0.049 0.511 0.118
0.951 0.489 0.882
0.004 0.996 0.750
0.513 0.793 0.055
0.404 0.596 0.750
0.596 0.404 0.250
```

## Properties
Formation energy from the elements, eV/atom: 0.018
Theoretical density, kg/m³: 1693

(11)
A plane-wave DFT calculation with PBE was carried out for an optimized crystal structure of Pm2TmSb.

The structure in POSCAR format:
```
Pm2TmSb
1.0
4.883 0.000 0.000
0.000 4.824 0.000
0.000 0.000 4.824
Tm Sb Pm
1 1 2
Direct
0.500 0.500 0.500
0.500 0.000 0.000
0.000 0.000 0.500
0.000 0.500 0.000
```

## Properties
Distance to the lowest polymorph of the same formula, eV per atom: 0.009
Theoretical density, kg/m³: 8487
Formation energy (no corrections), eV/atom: -0.50

(12)
A plane-wave DFT calculation with PBE was carried out for an optimized crystal structure of HoCo4.

The structure in POSCAR format:
```
HoCo4
1.0
5.490 0.000 0.000
0.000 5.566 -0.217
0.000 -2.679 4.884
Co Ho
8 2
Direct
0.000 0.750 0.750
0.250 0.633 0.367
0.500 0.750 0.750
0.750 0.367 0.633
0.500 0.250 0.250
0.250 0.867 0.133
0.000 0.250 0.250
0.750 0.133 0.867
0.250 0.250 0.750
0.750 0.750 0.250
```

## Properties
Formation energy from the elements, eV/atom: -0.081
Distance to the lowest polymorph of the same formula, eV per atom: 0.000
Theoretical density, kg/m³: 9111

Q: Among the records above, which one has the highest theoretical density?
A: Sm3Tm2Pb2